## PmTh2Os (PBE-GGA)

Data for an optimized crystal structure of PmTh2Os.

Summary:
- SG = R3m
- formation energy (meV per atom) = -79.5
- offset from the most stable computed form (meV/atom) = 130
- M_tot (μB/f.u.) = 0.000

Lattice parameters (Å, degrees): 4.0931 4.0931 9.2103 77.16 77.16 60.00
Fractional coordinates of all 4 atoms:
Th 0.0579 0.0579 0.8264
Th 0.2752 0.2752 0.1744
Os 0.6656 0.6656 0.0031
Pm 0.5013 0.5013 0.4960


## Pm3Th2Os2 (PBE-GGA)

Data for an optimized crystal structure of Pm3Th2Os2.

Summary:
- SG = C2/m
- formation energy (meV per atom) = -182.1
- M_tot (μB/f.u.) = 0.000

Lattice parameters (Å, degrees): 4.0039 6.6187 8.8881 108.55 103.02 107.61
Fractional coordinates of all 7 atoms:
Pm 0.5000 0.0000 0.0000
Pm 0.1991 0.8255 0.5726
Pm 0.8009 0.1745 0.4274
Th 0.6483 0.4812 0.8154
Th 0.3517 0.5188 0.1846
Os 0.0124 0.8292 0.1957
Os 0.9876 0.1708 0.8043


## PmThOs2 (PBE-GGA)

Data for an optimized crystal structure of PmThOs2.

Summary:
- SG = P4/mmm
- formation energy (meV per atom) = -43.8
- offset from the most stable computed form (meV/atom) = 56
- M_tot (μB/f.u.) = 0.000

Lattice parameters (Å, degrees): 3.5425 3.5425 7.0678 90.00 90.00 90.00
Fractional coordinates of all 4 atoms:
Th 0.5000 0.5000 0.0000
Pm 0.5000 0.5000 0.5000
Os 0.0000 0.0000 0.7620
Os 0.0000 0.0000 0.2380


## PmThOs2 (PBE-GGA)

Data for an optimized crystal structure of PmThOs2.

Summary:
- SG = Amm2
- formation energy (meV per atom) = -100.0
- offset from the most stable computed form (meV/atom) = 0
- M_tot (μB/f.u.) = 0.000

Lattice parameters (Å, degrees): 4.2948 4.1814 5.8094 90.00 111.68 90.00
Fractional coordinates of all 4 atoms:
Os 0.0208 0.0000 0.5798
Os 0.1460 0.5000 0.8317
Pm 0.4342 0.5000 0.4073
Th 0.7300 0.0000 0.9991


## PmTh3Os8 (PBE-GGA)

Data for an optimized crystal structure of PmTh3Os8.

Summary:
- SG = R3m
- formation energy (meV per atom) = -226.2
- M_tot (μB/f.u.) = 0.000

Lattice parameters (Å, degrees): 5.4486 5.4486 9.4516 73.25 73.25 60.00
Fractional coordinates of all 12 atoms:
Os 0.6877 0.6877 0.9370
Os 0.4376 0.9363 0.1885
Os 0.4376 0.4376 0.1885
Os 0.1879 0.1879 0.4363
Os 0.9377 0.9376 0.6867
Os 0.4380 0.9376 0.6867
Os 0.9376 0.4380 0.6867
Os 0.9363 0.4376 0.1885
Th 0.5006 0.5006 0.4983
Th 0.9991 0.9991 0.0026
Th 0.3748 0.3748 0.8755
Pm 0.8750 0.8750 0.3749


## PmTh5Os4 (PBE-GGA)

Data for an optimized crystal structure of PmTh5Os4.

Summary:
- SG = C2/m
- formation energy (meV per atom) = -185.9
- M_tot (μB/f.u.) = 0.000

Lattice parameters (Å, degrees): 4.5428 7.3535 9.6553 117.31 103.61 90.00
Fractional coordinates of all 10 atoms:
Os 0.9894 0.6868 0.9787
Os 0.6986 0.1792 0.3972
Os 0.0106 0.3132 0.0213
Os 0.3014 0.8208 0.6028
Pm 0.5000 0.0000 0.0000
Th 0.1665 0.3805 0.3329
Th 0.5000 0.5000 0.0000
Th 0.1628 0.8854 0.3256
Th 0.8335 0.6195 0.6671
Th 0.8372 0.1146 0.6744


| no. | D(E_F) (states/eV/f.u.) |
| --- | --- |
| 1 | 5.5 |
| 2 | 7.2 |
| 3 | 0.9 |
| 4 | 5.0 |
| 5 | 6.6 |
| 6 | 6.8 |